# 1
Te2MoAs: relaxed, GGA-PBE.

Properties
Space-group type   I-4m2, No. 119
Formation energy without anion corrections   666 meV per atom

Cell: 4.5327 4.5327 8.2005 Å, 90.00 90.00 90.00°
Element x y z (fractional)
Te: 0.0000 0.0000 0.0000
Te: 0.0000 0.5000 0.2500
Te: 0.5000 0.0000 0.7500
Te: 0.5000 0.5000 0.5000
Mo: 0.0000 0.0000 0.5000
Mo: 0.5000 0.5000 0.0000
As: 0.0000 0.5000 0.7500
As: 0.5000 0.0000 0.2500

# 2
Pu2AlCu4Ge3: relaxed, GGA-PBE.

Properties
Space-group type   P-4m2, No. 115
ΔE_f   -0.31 eV/atom

Cell: 4.0952 4.0952 10.3031 Å, 90.00 90.00 90.00°
Element x y z (fractional)
Pu: 0.0000 0.5000 0.2417
Pu: 0.5000 0.0000 0.7583
Al: 0.0000 0.0000 0.5000
Cu: 0.0000 0.0000 0.0000
Cu: 0.0000 0.5000 0.6343
Cu: 0.5000 0.0000 0.3657
Cu: 0.5000 0.5000 0.0000
Ge: 0.0000 0.5000 0.8650
Ge: 0.5000 0.0000 0.1350
Ge: 0.5000 0.5000 0.5000

# 3
LiPrZnPt3: relaxed, GGA-PBE.

Properties
Space-group type   Cmcm, No. 63
ΔE_f   -0.61 eV/atom

Cell: 7.0327 7.0327 5.8004 Å, 90.00 90.00 131.04°
Element x y z (fractional)
Li: 0.1080 0.8920 0.7500
Li: 0.8920 0.1080 0.2500
Pr: 0.3245 0.6755 0.7500
Pr: 0.6755 0.3245 0.2500
Zn: 0.3724 0.6276 0.2500
Zn: 0.6276 0.3724 0.7500
Pt: 0.1728 0.8272 0.2500
Pt: 0.2464 0.2464 0.0000
Pt: 0.2464 0.2464 0.5000
Pt: 0.7536 0.7536 0.0000
Pt: 0.7536 0.7536 0.5000
Pt: 0.8272 0.1728 0.7500

Asked for mass density across the records above, the calculation gives 8.4; 9.5; 12.3 g/cm3 in order.
Asked for total DFT energy (no corrections) across the records above, the calculation gives -4.775; -6.574; -4.954 eV/atom in order.